Record 1
{"formula": "ZnCo2PtN", "functional": "GGA-PBE", "state": "optimized geometry", "lattice_angstrom": [[3.7339, 0.0000, 0.0000], [0.0000, 3.7339, 0.0000], [0.0000, 0.0000, 4.2686]], "species": ["Co", "Zn", "Co", "N", "Pt"], "fractional_positions": [[0.5000, 0.0000, 0.0000], [0.5000, 0.5000, 0.5000], [0.0000, 0.5000, 0.0000], [0.0000, 0.0000, 0.0000], [0.0000, 0.0000, 0.5000]], "de_polymorph_ev_per_atom": 0.0443, "e_form_raw_ev_per_atom": 0.044, "space_group": "P4/mmm", "n_ef_per_ev_cell": 5.336, "magnetic_moment_mub_per_atom": 0.368}

Record 2
{"formula": "TaVGa3", "functional": "GGA-PBE", "state": "optimized geometry", "lattice_angstrom": [[4.9389, 0.0000, 0.0000], [0.0000, 4.9389, 0.0000], [0.0000, 0.0000, 4.9389]], "species": ["Ga", "V", "Ta", "Ga", "Ga"], "fractional_positions": [[0.0000, 0.5000, 0.0000], [0.5000, 0.5000, 0.5000], [0.0000, 0.0000, 0.0000], [0.5000, 0.0000, 0.0000], [0.0000, 0.0000, 0.5000]], "de_polymorph_ev_per_atom": 0.9262, "space_group": "Pm-3m", "n_ef_per_ev_cell": 3.123, "magnetic_moment_mub_per_atom": 0.584, "formation_energy_ev_per_atom": 0.90}

Record 3
{"formula": "Tl3InAs", "functional": "GGA-PBE", "state": "optimized geometry", "lattice_angstrom": [[5.6007, 0.0000, 0.0000], [0.0000, 5.6007, 0.0000], [0.0000, 0.0000, 5.6007]], "species": ["Tl", "In", "As", "Tl", "Tl"], "fractional_positions": [[0.0000, 0.0000, 0.5000], [0.5000, 0.5000, 0.5000], [0.0000, 0.0000, 0.0000], [0.5000, 0.0000, 0.0000], [0.0000, 0.5000, 0.0000]], "de_polymorph_ev_per_atom": 0.0000, "space_group": "Pm-3m", "n_ef_per_ev_cell": 3.746, "magnetic_moment_mub_per_atom": 0.000, "formation_energy_ev_per_atom": 0.35}

Record 4
{"formula": "AcPm2Pr2Tm", "functional": "GGA-PBE", "state": "optimized geometry", "lattice_angstrom": [[5.8334, 0.0000, 0.0000], [0.0000, 7.2909, 0.0000], [0.0000, 0.0000, 10.0880]], "species": ["Pm", "Pm", "Pr", "Pr", "Pm", "Ac", "Tm", "Ac", "Tm", "Pr", "Pr", "Pm"], "fractional_positions": [[0.0000, 0.7577, 0.1638], [0.5000, 0.7575, 0.6713], [0.0000, 0.2573, 0.1658], [0.5000, 0.5076, 0.0003], [0.0000, 0.2577, 0.8362], [0.0000, 0.0077, 0.5002], [0.5000, 0.7578, 0.3327], [0.0000, 0.5077, 0.4998], [0.5000, 0.2578, 0.6673], [0.5000, 0.0076, 0.9997], [0.0000, 0.7573, 0.8342], [0.5000, 0.2575, 0.3287]], "space_group": "Pmc2_1", "n_ef_per_ev_cell": 17.519, "magnetic_moment_mub_per_atom": 0.000, "formation_energy_ev_per_atom": 0.06}

Record 5
{"formula": "KB6", "functional": "GGA-PBE", "state": "optimized geometry", "lattice_angstrom": [[4.4587, 0.0000, 0.0000], [-1.4862, 4.2037, 0.0000], [-1.4862, -2.1018, 3.6405]], "species": ["B", "B", "B", "B", "B", "K", "B"], "fractional_positions": [[0.7500, 0.5000, 0.2500], [0.5000, 0.7500, 0.2500], [0.2500, 0.7500, 0.5000], [0.2500, 0.5000, 0.7500], [0.5000, 0.2500, 0.7500], [0.0000, 0.0000, 0.0000], [0.7500, 0.2500, 0.5000]], "de_polymorph_ev_per_atom": 0.7289, "space_group": "Im-3m", "n_ef_per_ev_cell": 4.349, "magnetic_moment_mub_per_atom": 0.000, "formation_energy_ev_per_atom": 0.70}

Record 6
{"formula": "CrCu2Ir", "functional": "GGA-PBE", "state": "optimized geometry", "lattice_angstrom": [[-2.1919, 2.0426, 3.3793], [-1.4652, -3.1850, 2.8469], [4.0962, 0.7484, -1.7487]], "species": ["Ir", "Cu", "Cu", "Cr"], "fractional_positions": [[0.5000, 0.5000, 0.0000], [0.7500, 0.2500, 0.5000], [0.0000, 0.0000, 0.0000], [0.2500, 0.7500, 0.5000]], "space_group": "I-4m2", "n_ef_per_ev_cell": 3.223, "magnetic_moment_mub_per_atom": 0.553, "formation_energy_ev_per_atom": 0.07}

Record 7
{"formula": "Li9InHg2", "functional": "GGA-PBE", "state": "optimized geometry", "lattice_angstrom": [[4.2003, 0.0000, 0.0000], [0.0000, 4.2003, 0.0000], [0.0000, 0.0000, 12.2704]], "species": ["Li", "Li", "Li", "Li", "Hg", "Li", "In", "Li", "Li", "Li", "Li", "Hg"], "fractional_positions": [[0.5000, 0.5000, 0.0000], [0.5000, 0.0000, 0.1721], [0.5000, 0.0000, 0.5000], [0.5000, 0.5000, 0.6627], [0.0000, 0.0000, 0.6652], [0.0000, 0.5000, 0.8279], [0.0000, 0.0000, 0.0000], [0.0000, 0.5000, 0.5000], [0.0000, 0.5000, 0.1721], [0.5000, 0.0000, 0.8279], [0.5000, 0.5000, 0.3373], [0.0000, 0.0000, 0.3348]], "space_group": "P4/mmm", "n_ef_per_ev_cell": 1.311, "magnetic_moment_mub_per_atom": 0.000, "formation_energy_ev_per_atom": -0.25}

Record 8
{"formula": "InNi3Pd", "functional": "GGA-PBE", "state": "optimized geometry", "lattice_angstrom": [[4.5816, 0.0000, 0.0000], [0.0000, 4.5816, 0.0000], [0.0000, 0.0000, 4.5816]], "species": ["In", "Ni", "Ni", "Ni", "Pd"], "fractional_positions": [[0.5000, 0.5000, 0.5000], [0.5000, 0.0000, 0.0000], [0.0000, 0.0000, 0.5000], [0.0000, 0.5000, 0.0000], [0.0000, 0.0000, 0.0000]], "de_polymorph_ev_per_atom": 0.0000, "space_group": "Pm-3m", "n_ef_per_ev_cell": 10.479, "magnetic_moment_mub_per_atom": 0.420, "formation_energy_ev_per_atom": 0.98}

Record 9
{"formula": "Ac3Si4Os2", "functional": "GGA-PBE", "state": "optimized geometry", "lattice_angstrom": [[-2.6274, -1.5913, 2.6475], [5.8005, 0.0168, 2.6609], [-2.3741, 8.0233, 2.4663]], "species": ["Si", "Os", "Ac", "Ac", "Si", "Os", "Ac", "Si", "Si"], "fractional_positions": [[0.7256, 0.4512, 0.0683], [0.3951, 0.7902, 0.7301], [0.0000, 0.0000, 0.0000], [0.6664, 0.3329, 0.6566], [0.2744, 0.5488, 0.9317], [0.6049, 0.2098, 0.2699], [0.3336, 0.6671, 0.3434], [0.0535, 0.1071, 0.3812], [0.9465, 0.8929, 0.6188]], "de_polymorph_ev_per_atom": 0.0159, "e_form_raw_ev_per_atom": -0.518, "space_group": "C2/m", "n_ef_per_ev_cell": 4.779, "magnetic_moment_mub_per_atom": 0.000}

Record 10
{"formula": "Tm4Ir", "functional": "GGA-PBE", "state": "optimized geometry", "lattice_angstrom": [[-5.5561, -4.1742, 1.7597], [4.1412, 1.9848, 5.5047], [-2.7252, 6.0059, -2.8206]], "species": ["Tm", "Tm", "Tm", "Tm", "Tm", "Tm", "Ir", "Tm", "Tm", "Ir"], "fractional_positions": [[0.1112, 0.4445, 0.7263], [0.6349, 0.4682, 0.7737], [0.6945, 0.8612, 0.2263], [0.7182, 0.3849, 0.2737], [0.1927, 0.9661, 0.1664], [0.2161, 0.9427, 0.6664], [0.3303, 0.3303, 0.0000], [0.7997, 0.0263, 0.8336], [0.2763, 0.5497, 0.3336], [0.5803, 0.0803, 0.5000]], "de_polymorph_ev_per_atom": 0.0000, "space_group": "I-42d", "n_ef_per_ev_cell": 12.366, "magnetic_moment_mub_per_atom": 0.036, "formation_energy_ev_per_atom": -0.43}

Record 11
{"formula": "P2IrBrCl", "functional": "GGA-PBE", "state": "optimized geometry", "lattice_angstrom": [[4.6199, 0.0000, 0.0000], [0.0000, 4.6199, 0.0000], [0.0000, 0.0000, 4.9777]], "species": ["P", "P", "Cl", "Br", "Ir"], "fractional_positions": [[0.5000, 0.0000, 0.0000], [0.0000, 0.5000, 0.0000], [0.0000, 0.0000, 0.5000], [0.5000, 0.5000, 0.5000], [0.0000, 0.0000, 0.0000]], "de_polymorph_ev_per_atom": 0.0000, "e_form_raw_ev_per_atom": 0.426, "space_group": "P4/mmm", "n_ef_per_ev_cell": 4.252, "magnetic_moment_mub_per_atom": 0.000}

Record 12
{"formula": "ZrBeAl2", "functional": "GGA-PBE", "state": "optimized geometry", "lattice_angstrom": [[9.0706, -0.0013, -0.0008], [8.5917, 2.9084, -0.0008], [8.5917, 1.4141, 2.5414]], "species": ["Al", "Be", "Al", "Zr"], "fractional_positions": [[0.5116, 0.5116, 0.5116], [0.2500, 0.2500, 0.2500], [0.9884, 0.9884, 0.9884], [0.7500, 0.7500, 0.7500]], "space_group": "R-3m", "n_ef_per_ev_cell": 2.379, "magnetic_moment_mub_per_atom": 0.000, "formation_energy_ev_per_atom": 0.09}

Record 13
{"formula": "Li3Ga6Co", "functional": "GGA-PBE", "state": "optimized geometry", "lattice_angstrom": [[6.8422, -1.6695, -1.1794], [1.6827, 4.4621, -0.9106], [1.6827, 0.6330, 4.5099]], "species": ["Ga", "Ga", "Ga", "Ga", "Co", "Ga", "Li", "Ga", "Li", "Li"], "fractional_positions": [[0.3578, 0.7005, 0.0795], [0.1397, 0.6196, 0.6196], [0.8603, 0.3804, 0.3804], [0.6422, 0.2995, 0.9205], [0.5000, 0.5000, 0.5000], [0.6422, 0.9205, 0.2995], [0.0000, 0.0000, 0.0000], [0.3578, 0.0795, 0.7005], [0.2438, 0.2339, 0.2339], [0.7562, 0.7661, 0.7661]], "space_group": "C2/m", "n_ef_per_ev_cell": 3.681, "magnetic_moment_mub_per_atom": 0.000, "formation_energy_ev_per_atom": -0.13}